Zn3Cd (PBE-GGA, optimized geometry); calculated density = 7.5 g/cm³; calculated volume = 68.6 Å³ per cell; energy = -1.12 eV per atom; size of the total moment = 0.00 μB/f.u.
1.0
2.8769 0.0000 0.0000
0.0000 3.8786 0.0000
0.0000 0.0000 6.1498
Zn Cd
3 1
Cartesian
0.0000 0.0000 0.0000 Zn
1.4384 1.9393 1.3727 Zn
1.4384 1.9393 4.7771 Zn
0.0000 0.0000 3.0749 Cd